Version a
DFT (PBE-GGA) results for a relaxed structure of Rb2Pb.

Calculated values
Space group   No. 12

abc: 4.798 7.335 11.113
angles: 67.92 77.53 70.91
Fractional coordinates of all 6 atoms:
Pb 0.798 0.356 0.048
Pb 0.202 0.644 0.952
Rb 0.828 0.696 0.648
Rb 0.520 0.139 0.820
Rb 0.480 0.861 0.180
Rb 0.172 0.304 0.352


Version b
DFT (PBE-GGA) results for a relaxed structure of Rb2Pb.

Calculated values
Space group   No. 139

abc: 4.525 4.525 8.411
angles: 105.60 105.60 90.00
Each line ends with the local moment (μB).
Fractional coordinates of all 3 atoms:
Rb 0.638 0.638 0.277  0.01
Rb 0.362 0.362 0.723  0.01
Pb 0.000 0.000 0.000  0.09


Which is the most stable structure? version a is the most stable.


Version a
DFT (PBE-GGA) results for a relaxed structure of Rb2Re2Pb.

Calculated values
Space group   No. 127

abc: 10.639 10.639 2.898
angles: 90.00 90.00 90.00
Fractional coordinates of all 10 atoms:
Rb 0.707 0.793 0.500
Rb 0.793 0.293 0.500
Rb 0.293 0.207 0.500
Rb 0.207 0.707 0.500
Re 0.073 0.427 0.000
Re 0.927 0.573 0.000
Re 0.573 0.073 0.000
Re 0.427 0.927 0.000
Pb 0.500 0.500 0.000
Pb 0.000 0.000 0.000


Version b
DFT (PBE-GGA) results for a relaxed structure of Rb2Re2Pb.

Calculated values
Space group   No. 139

abc: 3.531 3.531 12.956
angles: 82.17 82.17 90.00
Fractional coordinates of all 5 atoms:
Rb 0.378 0.378 0.244
Rb 0.622 0.622 0.756
Pb 0.000 0.000 0.000
Re 0.750 0.250 0.500
Re 0.250 0.750 0.500


Version c
DFT (PBE-GGA) results for a relaxed structure of Rb2Re2Pb.

Calculated values
Space group   No. 139

abc: 4.579 4.579 8.340
angles: 74.07 74.07 90.00
Each line ends with the local moment (μB).
Fractional coordinates of all 5 atoms:
Re 0.430 0.430 0.139  0.70
Re 0.570 0.570 0.861  0.70
Rb 0.750 0.250 0.500  0.00
Rb 0.250 0.750 0.500  0.00
Pb 0.000 0.000 0.000  -0.04


Which is the most stable structure? version b is the most stable.


Version a
DFT (PBE-GGA) results for a relaxed structure of RbRe3Pb.

Calculated values
Space group   No. 221

abc: 4.849 4.849 4.849
angles: 90.00 90.00 90.00
Each line ends with the local moment (μB).
Fractional coordinates of all 5 atoms:
Re 0.500 0.000 0.000  1.14
Re 0.000 0.500 0.000  1.07
Re 0.000 0.000 0.500  1.16
Pb 0.500 0.500 0.500  0.01
Rb 0.000 0.000 0.000  0.07


Version b
DFT (PBE-GGA) results for a relaxed structure of RbRe3Pb.

Calculated values
Space group   No. 221

abc: 5.195 5.195 5.195
angles: 90.00 90.00 90.00
Each line ends with the local moment (μB).
Fractional coordinates of all 5 atoms:
Re 0.500 0.000 0.000  1.32
Re 0.000 0.000 0.500  1.64
Re 0.000 0.500 0.000  1.55
Pb 0.000 0.000 0.000  -0.04
Rb 0.500 0.500 0.500  0.02


Which is the most stable structure? version b is the most stable.


Version a
DFT (PBE-GGA) results for a relaxed structure of RbRu3Pb.

Calculated values
Space group   No. 221

abc: 4.900 4.900 4.900
angles: 90.00 90.00 90.00
Each line ends with the local moment (μB).
Fractional coordinates of all 5 atoms:
Pb 0.500 0.500 0.500  -0.06
Rb 0.000 0.000 0.000  0.04
Ru 0.000 0.000 0.500  1.44
Ru 0.500 0.000 0.000  1.47
Ru 0.000 0.500 0.000  1.66


Version b
DFT (PBE-GGA) results for a relaxed structure of RbRu3Pb.

Calculated values
Space group   No. 221

abc: 5.176 5.176 5.176
angles: 90.00 90.00 90.00
Each line ends with the local moment (μB).
Fractional coordinates of all 5 atoms:
Ru 0.500 0.000 0.000  1.25
Ru 0.000 0.000 0.500  1.77
Ru 0.000 0.500 0.000  1.62
Pb 0.000 0.000 0.000  -0.09
Rb 0.500 0.500 0.500  0.00


Which is the most stable structure? version b is the most stable.